No. 1
InSnTeBr | PBE-GGA | relaxed

## Properties
- Size of the total moment: 0.000 μB per atom
- E_form (uncorrected): -384 meV per atom
- Crystal system: trigonal
- Theoretical density: 4741 kg/m3
- VASP energy: -13.09 eV per formula unit
- V: 309.0 Å³/cell
- Space group: R-3m, No. 166

Cell: 12.3757 12.3757 12.3757 Å, 25.49 25.49 25.49°
Last column: nearest neighbours and their distance in Å.
Element x y z (fractional)
In  0.1145  0.1145  0.1145  4 Br 3.11-3.22
In  0.8855  0.8855  0.8855  4 Br 3.11-3.22
Sn  0.2947  0.2947  0.2947  4 Te 3.05-3.16, 1 Br 3.37
Sn  0.7053  0.7053  0.7053  4 Te 3.05-3.16, 1 Br 3.37
Te  0.3796  0.3796  0.3796  4 Sn 3.05-3.16
Te  0.6204  0.6204  0.6204  4 Sn 3.05-3.16
Br  0.2010  0.2010  0.2010  4 In 3.11-3.22, 1 Sn 3.37
Br  0.7990  0.7990  0.7990  4 In 3.11-3.22, 1 Sn 3.37

No. 2
TiInSnBr6 | PBE-GGA | relaxed

## Properties
- Size of the total moment: 0.111 μB per atom
- E_form (uncorrected): -920 meV per atom
- Crystal system: trigonal
- Theoretical density: 3908 kg/m3
- VASP energy: -32.95 eV per formula unit
- V: 323.2 Å³/cell
- Space group: P312, No. 149

Cell: 7.3350 7.3350 6.9366 Å, 90.00 90.00 120.00°
Last column: nearest neighbours and their distance in Å.
Element x y z (fractional)
Ti  0.0000  0.0000  0.0000  6 Br 2.61
In  0.3333  0.6667  0.5000  6 Br 3.32
Sn  0.6667  0.3333  0.0000  6 Br 2.98
Br  0.2953  0.0141  0.2201  1 Ti 2.61
Br  0.2953  0.2812  0.7799  1 Ti 2.61
Br  0.7188  0.0141  0.7799  1 Ti 2.61
Br  0.7188  0.7047  0.2201  1 Ti 2.61
Br  0.9859  0.2812  0.2201  1 Ti 2.61
Br  0.9859  0.7047  0.7799  1 Ti 2.61

No. 3
TiInSnBr2 | PBE-GGA | relaxed

## Properties
- Size of the total moment: 0.617 μB per atom
- E_form (uncorrected): 298 meV per atom
- Crystal system: tetragonal
- Theoretical density: 3886 kg/m3
- VASP energy: -16.49 eV per formula unit
- V: 188.5 Å³/cell
- Space group: P4/mmm, No. 123

Cell: 5.7872 5.7872 5.6288 Å, 90.00 90.00 90.00°
Last column: nearest neighbours and their distance in Å.
Element x y z (fractional)
Ti  0.0000  0.0000  0.0000  2 Sn 2.81
In  0.5000  0.5000  0.0000  8 Br 4.04, 4 Ti 4.09
Sn  0.0000  0.0000  0.5000  2 Ti 2.81, 4 Br 2.89
Br  0.0000  0.5000  0.5000  2 Sn 2.89
Br  0.5000  0.0000  0.5000  2 Sn 2.89

No. 4
TlInSnBr4 | PBE-GGA | relaxed

## Properties
- Size of the total moment: 0.000 μB per atom
- E_form (uncorrected): -715 meV per atom
- Crystal system: orthorhombic
- Theoretical density: 4475 kg/m3
- VASP energy: -20.81 eV per formula unit
- V: 562.1 Å³/cell
- Space group: Cmcm, No. 63

Cell: 9.1759 9.1759 8.2964 Å, 90.00 90.00 126.41°
Last column: nearest neighbours and their distance in Å.
Element x y z (fractional)
Tl  0.1182  0.8818  0.7500  1 Br 3.11
Tl  0.8818  0.1182  0.2500  1 Br 3.11
In  0.3914  0.6086  0.7500  1 Br 2.91
In  0.6086  0.3914  0.2500  1 Br 2.91
Sn  0.2477  0.7523  0.2500  6 Br 2.89-3.00
Sn  0.7523  0.2477  0.7500  6 Br 2.89-3.00
Br  0.0000  0.5000  0.0000  2 Sn 2.93
Br  0.0000  0.5000  0.5000  2 Sn 2.93
Br  0.0714  0.9286  0.2500  1 Sn 2.89, 1 Tl 3.11
Br  0.4307  0.5693  0.2500  1 In 2.91, 1 Sn 3.00
Br  0.5000  0.0000  0.0000  2 Sn 2.93
Br  0.5000  0.0000  0.5000  2 Sn 2.93
Br  0.5693  0.4307  0.7500  1 In 2.91, 1 Sn 3.00
Br  0.9286  0.0714  0.7500  1 Sn 2.89, 1 Tl 3.11

No. 5
TlInSn2Br6 | PBE-GGA | relaxed

## Properties
- Size of the total moment: 0.000 μB per atom
- E_form (uncorrected): -766 meV per atom
- Crystal system: trigonal
- Theoretical density: 4400 kg/m3
- VASP energy: -30.81 eV per formula unit
- V: 391.0 Å³/cell
- Space group: R3, No. 146

Cell: 8.2270 8.2270 8.2270 Å, 59.68 59.68 59.68°
Last column: nearest neighbours and their distance in Å.
Element x y z (fractional)
Tl  0.0000  0.0000  0.0000  6 Br 3.40
In  0.4967  0.4967  0.4967  6 Br 3.33-3.41
Sn  0.2916  0.2916  0.2916  6 Br 2.86-3.17
Sn  0.7926  0.7926  0.7926  6 Br 2.85-3.19
Br  0.0758  0.6273  0.4279  2 Sn 2.86-3.19
Br  0.1276  0.5724  0.9281  2 Sn 2.85-3.17
Br  0.4279  0.0758  0.6273  2 Sn 2.86-3.19
Br  0.5724  0.9281  0.1276  2 Sn 2.85-3.17
Br  0.6273  0.4279  0.0758  2 Sn 2.86-3.19
Br  0.9281  0.1276  0.5724  2 Sn 2.85-3.17

No. 6
Tl2In2SnBr6 | PBE-GGA | relaxed

## Properties
- Size of the total moment: 0.000 μB per atom
- E_form (uncorrected): -756 meV per atom
- Crystal system: monoclinic
- Theoretical density: 4728 kg/m3
- VASP energy: -32.57 eV per formula unit
- V: 434.3 Å³/cell
- Space group: C2/m, No. 12

Cell: 7.8084 7.8084 8.1191 Å, 98.90 98.90 113.82°
Last column: nearest neighbours and their distance in Å.
Element x y z (fractional)
Tl  0.1840  0.8160  0.0000  6 Br 3.26-3.47
Tl  0.8160  0.1840  0.0000  6 Br 3.26-3.47
In  0.3501  0.6499  0.5000  6 Br 3.23-3.44
In  0.6499  0.3501  0.5000  6 Br 3.23-3.44
Sn  0.0000  0.0000  0.5000  6 Br 3.03
Br  0.0503  0.3799  0.7122  1 Sn 3.03, 2 In 3.23-3.36, 1 Tl 3.36
Br  0.1962  0.1962  0.2425  1 Sn 3.03, 2 Tl 3.26
Br  0.3799  0.0503  0.7122  1 Sn 3.03, 2 In 3.23-3.36, 1 Tl 3.36
Br  0.6201  0.9497  0.2878  1 Sn 3.03, 2 In 3.23-3.36, 1 Tl 3.36
Br  0.8038  0.8038  0.7575  1 Sn 3.03, 2 Tl 3.26
Br  0.9497  0.6201  0.2878  1 Sn 3.03, 2 In 3.23-3.36, 1 Tl 3.36

No. 7
Tl2InSnBr6 | PBE-GGA | relaxed

## Properties
- Size of the total moment: 0.000 μB per atom
- E_form (uncorrected): -755 meV per atom
- Crystal system: monoclinic
- Theoretical density: 4739 kg/m3
- VASP energy: -29.06 eV per formula unit
- V: 393.1 Å³/cell
- Space group: Cm, No. 8

Cell: 8.2092 8.2092 8.2004 Å, 119.66 119.66 90.50°
Last column: nearest neighbours and their distance in Å.
Element x y z (fractional)
Tl  0.2499  0.7501  0.0000  4 Br 3.39-3.42
Tl  0.7501  0.2499  0.0000  4 Br 3.39-3.42
In  0.0836  0.0836  0.5040  6 Br 2.80-2.95
Sn  0.5839  0.5839  0.5040  6 Br 2.84-2.98
Br  0.3392  0.3392  0.5055  1 Sn 2.84, 1 In 2.95
Br  0.3493  0.8507  0.5043  1 In 2.91, 1 Sn 2.93
Br  0.3498  0.3498  0.0030  1 In 2.92, 1 Sn 2.93
Br  0.8417  0.8417  0.5040  1 In 2.80, 1 Sn 2.98
Br  0.8505  0.8505  0.0055  1 In 2.91, 1 Sn 2.93
Br  0.8507  0.3493  0.5043  1 In 2.91, 1 Sn 2.93

No. 8
TlIn2SnBr5 | PBE-GGA | relaxed

## Properties
- Size of the total moment: 0.000 μB per atom
- E_form (uncorrected): -720 meV per atom
- Crystal system: orthorhombic
- Theoretical density: 4373 kg/m3
- VASP energy: -26.69 eV per formula unit
- V: 723.2 Å³/cell
- Space group: Cmc2_1, No. 36

Cell: 9.7975 9.7975 17.0282 Å, 90.00 90.00 153.74°
Last column: nearest neighbours and their distance in Å.
Element x y z (fractional)
Tl  0.0603  0.9397  0.5000  5 Br 3.21-3.43
Tl  0.9397  0.0603  0.0000  5 Br 3.21-3.43
In  0.3509  0.6491  0.3164  6 Br 3.17-3.51
In  0.4448  0.5552  0.7199  6 Br 3.24-3.47
In  0.5552  0.4448  0.2199  6 Br 3.24-3.47
In  0.6491  0.3509  0.8164  6 Br 3.17-3.51
Sn  0.2435  0.7565  0.0984  6 Br 2.89-3.14
Sn  0.7565  0.2435  0.5984  6 Br 2.89-3.14
Br  0.0316  0.9684  0.8303  4 In 3.17-3.35, 1 Tl 3.38
Br  0.0924  0.9076  0.0850  1 Sn 2.89
Br  0.2394  0.7606  0.4801  2 Sn 3.02
Br  0.2631  0.7369  0.7221  2 Sn 3.07
Br  0.4056  0.5944  0.1306  1 Sn 3.14, 2 Tl 3.21, 2 In 3.24-3.33
Br  0.5944  0.4056  0.6306  1 Sn 3.14, 2 Tl 3.21, 2 In 3.24-3.33
Br  0.7369  0.2631  0.2221  2 Sn 3.07
Br  0.7606  0.2394  0.9801  2 Sn 3.02
Br  0.9076  0.0924  0.5850  1 Sn 2.89
Br  0.9684  0.0316  0.3303  4 In 3.17-3.35, 1 Tl 3.38

No. 9
Tl2InSnBr5 | PBE-GGA | relaxed

## Properties
- Size of the total moment: 0.000 μB per atom
- E_form (uncorrected): -769 meV per atom
- Crystal system: orthorhombic
- Theoretical density: 4753 kg/m3
- VASP energy: -26.76 eV per formula unit
- V: 727.9 Å³/cell
- Space group: Cmc2_1, No. 36

Cell: 9.7999 9.7999 17.1050 Å, 90.00 90.00 153.70°
Last column: nearest neighbours and their distance in Å.
Element x y z (fractional)
Tl  0.0542  0.9458  0.5000  6 Br 3.32-3.45
Tl  0.1516  0.8484  0.0957  6 Br 3.23-3.52
Tl  0.8484  0.1516  0.5957  6 Br 3.23-3.52
Tl  0.9458  0.0542  0.0000  6 Br 3.32-3.45
In  0.4419  0.5581  0.2806  5 Br 3.13-3.51
In  0.5581  0.4419  0.7806  5 Br 3.13-3.51
Sn  0.2587  0.7413  0.8743  6 Br 2.89-3.12
Sn  0.7413  0.2587  0.3743  6 Br 2.89-3.12
Br  0.0974  0.9026  0.9048  1 Sn 3.12, 2 In 3.17, 2 Tl 3.32-3.42
Br  0.2352  0.7648  0.4983  2 Sn 3.08
Br  0.2592  0.7408  0.2580  2 Sn 3.01
Br  0.4096  0.5904  0.8590  1 Sn 2.89, 1 In 3.13
Br  0.4702  0.5298  0.6107  4 Tl 3.23-3.34, 1 In 3.36
Br  0.5298  0.4702  0.1107  4 Tl 3.23-3.34, 1 In 3.36
Br  0.5904  0.4096  0.3590  1 Sn 2.89, 1 In 3.13
Br  0.7408  0.2592  0.7580  2 Sn 3.01
Br  0.7648  0.2352  0.9983  2 Sn 3.08
Br  0.9026  0.0974  0.4048  1 Sn 3.12, 2 In 3.17, 2 Tl 3.32-3.42

No. 10
TlInSnBr6 | PBE-GGA | relaxed

## Properties
- Size of the total moment: 0.000 μB per atom
- E_form (uncorrected): -809 meV per atom
- Crystal system: trigonal
- Theoretical density: 4403 kg/m3
- VASP energy: -26.43 eV per formula unit
- V: 346.0 Å³/cell
- Space group: P312, No. 149

Cell: 7.4700 7.4700 7.1598 Å, 90.00 90.00 120.00°
Last column: nearest neighbours and their distance in Å.
Element x y z (fractional)
Tl  0.0000  0.0000  0.0000  6 Br 3.38
In  0.6667  0.3333  0.5000  6 Br 2.73
Sn  0.3333  0.6667  0.5000  6 Br 3.01
Br  0.3796  0.0285  0.7238  1 In 2.73, 1 Sn 3.01
Br  0.3796  0.3510  0.2762  1 In 2.73, 1 Sn 3.01
Br  0.6490  0.0285  0.2762  1 In 2.73, 1 Sn 3.01
Br  0.6490  0.6204  0.7238  1 In 2.73, 1 Sn 3.01
Br  0.9715  0.3510  0.7238  1 In 2.73, 1 Sn 3.01
Br  0.9715  0.6204  0.2762  1 In 2.73, 1 Sn 3.01

No. 11
TmInSn2Br8 | PBE-GGA | relaxed

## Properties
- Size of the total moment: 0.000 μB per atom
- E_form (uncorrected): -1087 meV per atom
- Crystal system: triclinic
- Theoretical density: 4297 kg/m3
- VASP energy: -41.64 eV per formula unit
- V: 448.4 Å³/cell
- Space group: P-1, No. 2

Cell: 6.7933 7.2159 9.1675 Å, 87.04 88.27 88.36°
Last column: nearest neighbours and their distance in Å.
Element x y z (fractional)
Tm  0.0000  0.0000  0.0000  6 Br 2.77-2.81
In  0.0000  0.0000  0.5000  6 Br 3.23-3.27
Sn  0.4925  0.4887  0.7496  4 Br 2.76-3.06
Sn  0.5075  0.5113  0.2504  4 Br 2.76-3.06
Br  0.2300  0.8370  0.7846  1 Tm 2.77, 1 Sn 3.06
Br  0.2344  0.3153  0.9798  1 Tm 2.81, 1 Sn 2.95
Br  0.2440  0.8526  0.2179  1 Tm 2.78, 1 Sn 3.01
Br  0.2737  0.3616  0.5277  1 Sn 2.76
Br  0.7263  0.6384  0.4723  1 Sn 2.76
Br  0.7560  0.1474  0.7821  1 Tm 2.78, 1 Sn 3.01
Br  0.7656  0.6847  0.0202  1 Tm 2.81, 1 Sn 2.95
Br  0.7700  0.1630  0.2154  1 Tm 2.77, 1 Sn 3.06